(1)
First-principles (PBE) data for an optimized crystal structure of BaTb2Tl3, as listed in Alexandria via LeMat-Bulk.

## Properties
Calculated volume   31.1 Å³ per atom
Fermi-level density of states   0.577 states/eV/atom

Unit cell a=3.9060 b=3.9060 c=12.2182 alpha=90.00 beta=90.00 gamma=90.00
Last column: nearest neighbours and their distance in Å.
Space group P4/mmm (No. 123)
Inequivalent atoms, fractional coordinates:
Ba 0.0000 0.0000 0.0000 x1  8 Tl 3.69, 4 Ba 3.91
Tb 0.0000 0.0000 0.3469 x2  8 Tl 3.29-3.34
Tl 0.5000 0.5000 0.2005 x2  4 Tb 3.29, 1 Tl 3.66
Tl 0.5000 0.5000 0.5000 x1  8 Tb 3.34, 2 Tl 3.66

(2)
First-principles (PBE) data for an optimized crystal structure of BaTb2Tl, as listed in Alexandria via LeMat-Bulk.

## Properties
Calculated volume   36.3 Å³ per atom
Fermi-level density of states   1.452 states/eV/atom

Unit cell a=3.7207 b=3.7207 c=36.3286 alpha=90.00 beta=90.00 gamma=120.00
Last column: nearest neighbours and their distance in Å.
Space group R-3m (No. 166, hexagonal axes)
Inequivalent atoms, fractional coordinates:
Ba 0.0000 0.0000 0.0000 x3  2 Tb 3.66, 6 Ba 3.72
Tb 0.0000 0.0000 0.1007 x6  3 Tl 3.22
Tl 0.0000 0.0000 0.5000 x3  6 Tb 3.22

(3)
First-principles (PBE) data for an optimized crystal structure of Ba4TbTl5, as listed in Alexandria via LeMat-Bulk.

## Properties
Calculated volume   36.8 Å³ per atom
Fermi-level density of states   0.860 states/eV/atom

Unit cell a=4.1303 b=4.1303 c=21.5934 alpha=90.00 beta=90.00 gamma=90.00
Last column: nearest neighbours and their distance in Å.
Space group P4/mmm (No. 123)
Inequivalent atoms, fractional coordinates:
Ba 0.0000 0.0000 0.1031 x2  8 Tl 3.66-3.67
Ba 0.0000 0.0000 0.3129 x2  8 Tl 3.73-3.75, 1 Tb 4.04, 4 Ba 4.13
Tb 0.0000 0.0000 0.5000 x1  8 Tl 3.37
Tl 0.5000 0.5000 0.0000 x1  8 Ba 3.67
Tl 0.5000 0.5000 0.2057 x2  8 Ba 3.66-3.73
Tl 0.5000 0.5000 0.4217 x2  4 Tb 3.37, 1 Tl 3.38, 4 Ba 3.75

(4)
First-principles (PBE) data for an optimized crystal structure of BaTbTl, as listed in Alexandria via LeMat-Bulk.

## Properties
Calculated volume   37.4 Å³ per atom
Fermi-level density of states   1.366 states/eV/atom
ΔE to the lowest computed polymorph   192.6 meV/atom

Unit cell a=5.5267 b=5.5267 c=4.2421 alpha=90.00 beta=90.00 gamma=120.00
Last column: nearest neighbours and their distance in Å.
Space group P3m1 (No. 156)
Inequivalent atoms, fractional coordinates:
Ba 0.0000 0.0000 0.0000 x1  6 Tl 3.83-3.84, 6 Tb 3.83, 2 Ba 4.24
Tb 0.3333 0.6667 0.4995 x1  3 Tl 3.19
Tl 0.6667 0.3333 0.5017 x1  3 Tb 3.19

(5)
First-principles (PBE) data for an optimized crystal structure of BaTbTl, as listed in Alexandria via LeMat-Bulk.

## Properties
Calculated volume   38.4 Å³ per atom
Fermi-level density of states   0.507 states/eV/atom
ΔE to the lowest computed polymorph   0.0 meV/atom

Unit cell a=5.2708 b=5.2708 c=8.3036 alpha=90.00 beta=90.00 gamma=90.00
Last column: nearest neighbours and their distance in Å.
Space group P4/nmm (No. 129, origin choice 2)
Inequivalent atoms, fractional coordinates:
Ba 0.2500 0.2500 0.1393 x2  5 Tl 3.51-3.92
Tb 0.2500 0.7500 0.5000 x2  4 Tl 3.19
Tl 0.2500 0.2500 0.7161 x2  4 Tb 3.19, 1 Ba 3.51

(6)
First-principles (PBE) data for an optimized crystal structure of BaTbTl6, as listed in Alexandria via LeMat-Bulk.

## Properties
Calculated volume   30.3 Å³ per atom
Fermi-level density of states   0.487 states/eV/atom

Unit cell a=4.9534 b=4.9534 c=9.8930 alpha=90.00 beta=90.00 gamma=90.00
Last column: nearest neighbours and their distance in Å.
Space group P4/mmm (No. 123)
Inequivalent atoms, fractional coordinates:
Ba 0.0000 0.0000 0.0000 x1  12 Tl 3.50-3.61
Tb 0.0000 0.0000 0.5000 x1  12 Tl 3.39-3.50
Tl 0.0000 0.5000 0.2659 x4  2 Tb 3.39, 8 Tl 3.39-3.61, 2 Ba 3.61
Tl 0.5000 0.5000 0.0000 x1  4 Ba 3.50, 8 Tl 3.61
Tl 0.5000 0.5000 0.5000 x1  8 Tl 3.39, 4 Tb 3.50

no.,energy relative to the elements (eV/f.u.)
1,-2.2
2,0.5
3,-3.7
4,-0.3
5,-0.9
6,-1.9